The following is a DFT calculation (PBE) of an optimized crystal structure of DyTlHg2.

Output
Symmetry: P4/mmm (123)
Energy in eV/atom: -2.176

Cell: 4.3430 4.8240 4.8240 Å, 90.00 90.00 90.00°
Fractional coordinates of all 4 atoms:
Tl 0.5000 0.0000 0.0000
Hg 0.0000 0.0000 0.5000
Hg 0.0000 0.5000 0.0000
Dy 0.5000 0.5000 0.5000